# NaLa2TmSe4

NaLa2TmSe4 after structural relaxation (GGA-PBE, Alexandria).

The calculation puts the uncorrected formation energy at -14.35 eV/f.u. For the density of states at the Fermi level, the calculation gives 3.180 states/eV per cell. As for the magnetic moment: 0.000 μB per atom.

The space group is P2/m (No. 10) and the conventional cell measures 7.273, 4.207 and 7.333 Å, with angles of 90.00, 109.29 and 90.00 degrees. The distinct sites, in fractional coordinates, are Na at (0.000, 0.000, 0.000), La at (0.500, 0.000, 0.500), La at (0.500, 0.500, 0.000), Tm at (0.000, 0.500, 0.500), Se at (0.230, 0.000, 0.739) and Se at (0.237, 0.500, 0.253).